No. 1
A relaxed Sr3Ho crystal. Source: the Alexandria database, functional PBE-GGA.

As for the energy of formation from the pure elements: 0.208 eV/atom. The raw total energy is -2.198 eV/atom. Its total magnetic moment is 0.128 μB per atom. The energy above the most stable polymorph in this dataset comes out at 0.0000 eV/atom.

It has space group P6_3/mmc (No. 194), with a = 8.0738 Å, b = 8.0738 Å, c = 6.5516 Å, α = 90.00°, β = 90.00° and γ = 120.00°. Symmetry generates all atoms from Sr at (0.1718, 0.3436, 0.2500) and Ho at (0.3333, 0.6667, 0.7500).

***

No. 2
A relaxed Dy3CuRh8 crystal. Source: the Alexandria database, functional PBE-GGA.

As for the energy of formation from the pure elements: -0.527 eV/atom. The raw total energy is -6.920 eV/atom. Its total magnetic moment is 0.000 μB per atom.

It has space group R3m (No. 160, hexagonal axes), with a = 5.2814 Å, b = 5.2814 Å, c = 25.9488 Å, α = 90.00°, β = 90.00° and γ = 120.00°. Symmetry generates all atoms from Dy at (0.0000, 0.0000, 0.0000), Dy at (0.0000, 0.0000, 0.1304), Dy at (0.0000, 0.0000, 0.6139), Cu at (0.0000, 0.0000, 0.4883), Rh at (0.0000, 0.0000, 0.3122), Rh at (0.0000, 0.0000, 0.8124), Rh at (0.0000, 0.5000, 0.0627) and Rh at (0.0010, 0.5005, 0.5614).

***

- total magnetic moment of number 1 (Sr3Ho)?
  0.128 μB per atom

***

What did the second record say?
A relaxed Dy3CuRh8 crystal. Source: the Alexandria database, functional PBE-GGA.

As for the energy of formation from the pure elements: -0.527 eV/atom. The raw total energy is -6.920 eV/atom. Its total magnetic moment is 0.000 μB per atom.

It has space group R3m (No. 160, hexagonal axes), with a = 5.2814 Å, b = 5.2814 Å, c = 25.9488 Å, α = 90.00°, β = 90.00° and γ = 120.00°. Symmetry generates all atoms from Dy at (0.0000, 0.0000, 0.0000), Dy at (0.0000, 0.0000, 0.1304), Dy at (0.0000, 0.0000, 0.6139), Cu at (0.0000, 0.0000, 0.4883), Rh at (0.0000, 0.0000, 0.3122), Rh at (0.0000, 0.0000, 0.8124), Rh at (0.0000, 0.5000, 0.0627) and Rh at (0.0010, 0.5005, 0.5614).

***

- Among the records above, which one has the lowest raw total energy?
  Dy3CuRh8

***

- What is the raw total energy in the second record?
  -6.920 eV/atom